Density functional theory data (GGA-PBE) for CaZn2Fe after structural relaxation.

Summary:
Mass density: 5.563 g/cm³
Formation enthalpy at 0 K: 29 kJ/mol of atoms
Magnetization: 0.000 μB/f.u.

```
data_CaZn2Fe
_chemical_formula_sum 'Ca4 Zn8 Fe4'
_symmetry_space_group_name_H-M 'F m -3 m'
_symmetry_Int_Tables_number 225
_symmetry_space_group_name_Hall '-F 4 2 3'
_cell_length_a 6.469
_cell_length_b 6.469
_cell_length_c 6.469
_cell_angle_alpha 90.00
_cell_angle_beta 90.00
_cell_angle_gamma 90.00
loop_
_atom_site_label
_atom_site_fract_x
_atom_site_fract_y
_atom_site_fract_z
Ca1 0.000 0.000 0.000
Zn1 0.250 0.250 0.250
Fe1 0.000 0.000 0.500
```